Here is a relaxed CuBi6Pd3 crystal from Alexandria. Energies are from PBE-GGA.

```
CuBi6Pd3
1.0
-2.6405 1.9827 6.7101
-5.4925 -3.7168 -1.0632
4.1961 -7.5709 4.7900
Cu Bi Pd
2 12 6
Direct
0.5000 0.5000 0.5000
0.0000 0.0000 0.0000
0.6819 0.1461 0.9274
0.6510 0.1380 0.5959
0.6862 0.5240 0.2443
0.3138 0.4760 0.7557
0.3490 0.8620 0.4041
0.3181 0.8539 0.0726
0.1819 0.3539 0.4274
0.1510 0.3620 0.0959
0.1862 0.9760 0.7443
0.8138 0.0240 0.2557
0.8490 0.6380 0.9041
0.8181 0.6461 0.5726
0.5414 0.8191 0.7841
0.5000 0.5000 0.0000
0.4586 0.1809 0.2159
0.0414 0.6809 0.2841
0.0000 0.0000 0.5000
0.9586 0.3191 0.7159
```

Formation enthalpy at 0 K (eV per atom): -0.13
VASP energy (eV/atom): -4.43